! AlIrRu2, optimized geometry, DFT PBE; values from VASP
&SYSTEM
  ibrav = 0, nat = 8, ntyp = 3
/
ATOMIC_SPECIES
Ru 101.07 Ru.upf
Ir 192.22 Ir.upf
Al 26.98 Al.upf
CELL_PARAMETERS angstrom
-2.6059 1.5139 -2.1102
-0.0213 -3.0017 -2.1271
-7.7482 -4.4467 3.1711
ATOMIC_POSITIONS crystal
Ru 0.6018 0.1250 0.2500
Ru 0.1482 0.6250 0.2500
Ru 0.3750 0.3982 0.7500
Ru 0.8750 0.8518 0.7500
Ir 0.0000 0.0000 0.0000
Ir 0.7500 0.2500 0.5000
Al 0.5000 0.5000 0.0000
Al 0.2500 0.7500 0.5000
! size of the total moment = 0.000 μB per atom
! density = 11.341 g cm⁻³
! symmetry = I-42d
! formation enthalpy at 0 K = 283 meV per atom

***

! AlIr2Ru, optimized geometry, DFT PBE; values from VASP
&SYSTEM
  ibrav = 0, nat = 4, ntyp = 3
/
ATOMIC_SPECIES
Ru 101.07 Ru.upf
Ir 192.22 Ir.upf
Al 26.98 Al.upf
CELL_PARAMETERS angstrom
4.0716 0.0000 0.0000
0.0000 2.7587 0.0014
0.0000 1.3770 5.0831
ATOMIC_POSITIONS crystal
Ru 0.0000 0.6962 0.4827
Ir 0.0000 0.9561 0.9623
Ir 0.5000 0.2983 0.2791
Al 0.5000 0.5494 0.7758
! size of the total moment = 0.000 μB per atom
! density = 14.907 g cm⁻³
! symmetry = Amm2
! formation enthalpy at 0 K = -265 meV per atom

***

! Al6Ir5Ru, optimized geometry, DFT PBE; values from VASP
&SYSTEM
  ibrav = 0, nat = 12, ntyp = 3
/
ATOMIC_SPECIES
Ru 101.07 Ru.upf
Ir 192.22 Ir.upf
Al 26.98 Al.upf
CELL_PARAMETERS angstrom
-3.9905 -1.4872 -0.0376
1.9594 -5.3087 2.0225
-2.7965 1.2542 6.0013
ATOMIC_POSITIONS crystal
Ru 0.0000 0.0000 0.0000
Ir 0.6677 0.5000 0.6646
Ir 0.3324 0.0000 0.3352
Ir 0.0000 0.5000 0.0000
Ir 0.6676 0.0000 0.6648
Ir 0.3323 0.5000 0.3354
Al 0.8353 0.7530 0.3294
Al 0.8353 0.2470 0.3294
Al 0.5000 0.2455 0.0000
Al 0.5000 0.7545 0.0000
Al 0.1647 0.7530 0.6706
Al 0.1647 0.2470 0.6706
! size of the total moment = 0.000 μB per atom
! density = 12.422 g cm⁻³
! symmetry = Cmmm
! formation enthalpy at 0 K = -955 meV per atom

***

! AlIrRu2, optimized geometry, DFT PBE; values from VASP
&SYSTEM
  ibrav = 0, nat = 4, ntyp = 3
/
ATOMIC_SPECIES
Ru 101.07 Ru.upf
Ir 192.22 Ir.upf
Al 26.98 Al.upf
CELL_PARAMETERS angstrom
-0.5931 3.1207 3.4239
1.4347 -4.0388 1.8555
2.6060 0.7987 -0.2765
ATOMIC_POSITIONS crystal
Ru 0.0000 0.0000 0.0000
Ru 0.5000 0.5000 0.0000
Ir 0.0000 0.5000 0.5000
Al 0.5000 0.0000 0.5000
! size of the total moment = 0.000 μB per atom
! density = 12.382 g cm⁻³
! symmetry = Cmmm
! formation enthalpy at 0 K = -195 meV per atom

***

! Al3Ir2Ru, optimized geometry, DFT PBE; values from VASP
&SYSTEM
  ibrav = 0, nat = 6, ntyp = 3
/
ATOMIC_SPECIES
Al 26.98 Al.upf
Ir 192.22 Ir.upf
Ru 101.07 Ru.upf
CELL_PARAMETERS angstrom
-2.1971 0.7694 -1.9131
1.3761 -1.5348 -2.1976
-4.5855 -7.3941 2.2928
ATOMIC_POSITIONS crystal
Al 0.0000 0.0000 0.0000
Al 0.0000 0.0000 0.6576
Al 0.0000 0.0000 0.3424
Ir 0.5000 0.5000 0.8336
Ir 0.5000 0.5000 0.1664
Ru 0.5000 0.5000 0.5000
! size of the total moment = 0.000 μB per atom
! density = 11.515 g cm⁻³
! symmetry = P4/mmm
! formation enthalpy at 0 K = -908 meV per atom

***

! AlIrRu2, optimized geometry, DFT PBE; values from VASP
&SYSTEM
  ibrav = 0, nat = 4, ntyp = 3
/
ATOMIC_SPECIES
Ru 101.07 Ru.upf
Ir 192.22 Ir.upf
Al 26.98 Al.upf
CELL_PARAMETERS angstrom
4.3334 0.0000 0.0000
2.1667 3.7529 0.0000
2.1667 1.2510 3.5382
ATOMIC_POSITIONS crystal
Ru 0.0000 0.0000 0.0000
Ru 0.2500 0.2500 0.2500
Ir 0.7500 0.7500 0.7500
Al 0.5000 0.5000 0.5000
! size of the total moment = 0.579 μB per atom
! density = 12.159 g cm⁻³
! symmetry = F-43m
! formation enthalpy at 0 K = -56 meV per atom

***

! AlIrRu2, optimized geometry, DFT PBE; values from VASP
&SYSTEM
  ibrav = 0, nat = 4, ntyp = 3
/
ATOMIC_SPECIES
Ru 101.07 Ru.upf
Ir 192.22 Ir.upf
Al 26.98 Al.upf
CELL_PARAMETERS angstrom
-0.6721 -2.2702 1.3743
0.0176 -0.1124 -2.7352
8.3947 -2.3930 0.1523
ATOMIC_POSITIONS crystal
Ru 0.0000 0.0000 0.0055
Ru 0.5000 0.5000 0.2594
Ir 0.5000 0.5000 0.7364
Al 0.0000 0.0000 0.4987
! size of the total moment = 0.305 μB per atom
! density = 12.109 g cm⁻³
! symmetry = Cmm2
! formation enthalpy at 0 K = 64 meV per atom

***

! Al2IrRu2, optimized geometry, DFT PBE; values from VASP
&SYSTEM
  ibrav = 0, nat = 5, ntyp = 3
/
ATOMIC_SPECIES
Ru 101.07 Ru.upf
Ir 192.22 Ir.upf
Al 26.98 Al.upf
CELL_PARAMETERS angstrom
-2.9997 1.0011 1.5925
-1.6584 -2.8221 -1.3498
-0.7845 -4.1980 5.0972
ATOMIC_POSITIONS crystal
Ru 0.3978 0.3978 0.2044
Ru 0.6022 0.6022 0.7956
Ir 0.0000 0.0000 0.0000
Al 0.7500 0.2500 0.5000
Al 0.2500 0.7500 0.5000
! size of the total moment = 0.269 μB per atom
! density = 9.639 g cm⁻³
! symmetry = I4/mmm
! energy above the lowest structure with this stoichiometry = 566.6 meV per atom
! formation enthalpy at 0 K = 279 meV per atom